Entry 1:
! PBE Y2Zn3CdNi12, optimized geometry; values from VASP
&SYSTEM
  ibrav = 0, nat = 18, ntyp = 4
/
ATOMIC_SPECIES
Y 88.91 Y.upf
Zn 65.41 Zn.upf
Cd 112.41 Cd.upf
Ni 58.69 Ni.upf
CELL_PARAMETERS angstrom
3.077 1.777 8.593
-3.077 1.777 8.593
0.000 -3.553 8.593
ATOMIC_POSITIONS crystal
Y 0.139 0.139 0.139
Y 0.861 0.861 0.861
Zn 0.000 0.500 0.500
Zn 0.500 0.000 0.500
Zn 0.500 0.500 0.000
Cd 0.500 0.500 0.500
Ni 0.033 0.633 0.633
Ni 0.082 0.082 0.702
Ni 0.082 0.702 0.082
Ni 0.298 0.918 0.918
Ni 0.367 0.367 0.967
Ni 0.367 0.967 0.367
Ni 0.633 0.033 0.633
Ni 0.633 0.633 0.033
Ni 0.702 0.082 0.082
Ni 0.918 0.298 0.918
Ni 0.918 0.918 0.298
Ni 0.967 0.367 0.367
! ρ ... 7.016 Mg/m³
! Total energy ... -85.40 eV per cell
! E_form ... 9 kJ/mol of atoms
! Calculated volume ... 15.66 Å³/atom


Entry 2:
! PBE Rb2Ba2Pb, optimized geometry; values from VASP
&SYSTEM
  ibrav = 0, nat = 10, ntyp = 3
/
ATOMIC_SPECIES
Rb 85.47 Rb.upf
Ba 137.33 Ba.upf
Pb 207.20 Pb.upf
CELL_PARAMETERS angstrom
9.340 0.000 0.000
0.000 9.340 0.000
0.000 0.000 7.637
ATOMIC_POSITIONS crystal
Rb 0.178 0.322 0.000
Rb 0.322 0.822 0.000
Rb 0.678 0.178 0.000
Rb 0.822 0.678 0.000
Ba 0.166 0.666 0.500
Ba 0.334 0.166 0.500
Ba 0.666 0.834 0.500
Ba 0.834 0.334 0.500
Pb 0.000 0.000 0.500
Pb 0.500 0.500 0.500
! ρ ... 3.254 Mg/m³
! Total energy ... -19.18 eV per cell
! E_form ... -2 kJ/mol of atoms
! Calculated volume ... 66.63 Å³/atom


Entry 3:
! PBE KYTl, optimized geometry; values from VASP
&SYSTEM
  ibrav = 0, nat = 6, ntyp = 3
/
ATOMIC_SPECIES
K 39.10 K.upf
Y 88.91 Y.upf
Tl 204.38 Tl.upf
CELL_PARAMETERS angstrom
-2.017 2.017 14.470
2.017 -2.017 14.470
2.017 2.017 -14.470
ATOMIC_POSITIONS crystal
K 0.076 0.076 0.000
K 0.924 0.924 0.000
Y 0.212 0.212 0.000
Y 0.788 0.788 0.000
Tl 0.339 0.339 0.000
Tl 0.661 0.661 0.000
! Excess energy over the best structure of this formula in the dataset ... 0.00 eV per formula unit
! ρ ... 4.690 Mg/m³
! Total energy ... -20.66 eV per cell
! E_form ... -13 kJ/mol of atoms
! Calculated volume ... 39.23 Å³/atom